1.
Cs4La3SnO8 | Alexandria | PBE | optimized geometry; raw formation energy = -2.21 eV per atom; magnetic moment = 0.00 Bohr magnetons per cell
1.0
-2.3508 5.0319 5.0005
0.5435 -5.6161 5.9068
6.1524 1.3278 -4.0283
O Cs Sn La
8 4 1 3
direct
0.2197 0.6707 0.9509
0.2194 0.6705 0.4388
0.7313 0.6707 0.9509
0.2687 0.3293 0.0491
0.7226 0.6679 0.4453
0.7806 0.3295 0.5612
0.2774 0.3321 0.5547
0.7803 0.3293 0.0491
0.5000 0.0000 0.0000
0.5000 0.0000 0.5000
0.0000 0.0000 0.5000
0.0000 0.0000 0.0000
0.0000 0.5000 0.0000
0.5000 0.5000 0.5000
0.0000 0.5000 0.5000
0.5000 0.5000 0.0000

=====

2.
CsSrLaO3 | Alexandria | PBE | optimized geometry; raw formation energy = -2.53 eV per atom; magnetic moment = 0.00 Bohr magnetons per cell
1.0
3.9365 0.0000 0.0000
0.0000 6.4835 0.2688
0.0000 -2.3931 9.6598
Cs O Sr La
2 6 2 2
direct
0.7500 0.6407 0.6769
0.2500 0.3593 0.3231
0.2500 0.4318 0.8811
0.7500 0.2051 0.5386
0.2500 0.9788 0.8758
0.2500 0.7949 0.4614
0.7500 0.0212 0.1242
0.7500 0.5682 0.1189
0.2500 0.1156 0.6466
0.7500 0.8844 0.3534
0.2500 0.7580 0.0334
0.7500 0.2420 0.9666

=====

3.
Cs3La3TaO8 | Alexandria | PBE | optimized geometry; raw formation energy = -2.62 eV per atom; magnetic moment = 0.01 Bohr magnetons per cell
1.0
-2.5360 -1.3840 6.6572
6.6722 -2.1638 -1.8640
-0.9511 8.1041 1.3222
La Cs O Ta
3 3 8 1
direct
0.5000 0.5000 0.5000
0.0000 0.5000 0.5000
0.5000 0.0000 0.5000
0.5000 0.5000 0.0000
0.0000 0.5000 0.0000
0.0000 0.0000 0.0000
0.8111 0.0415 0.3526
0.7198 0.4397 0.6594
0.1889 0.9585 0.6474
0.7697 0.9586 0.6474
0.2802 0.5603 0.3406
0.1889 0.3778 0.6475
0.8111 0.6222 0.3525
0.2303 0.0414 0.3526
0.0000 0.0000 0.5000

=====

4.
Cs4La3TbO8 | Alexandria | PBE | optimized geometry; raw formation energy = -2.58 eV per atom; magnetic moment = 0.00 Bohr magnetons per cell
1.0
-3.2750 -0.2107 6.7055
-0.5447 -8.1335 -0.5216
6.7865 3.0200 -0.7464
La Cs O Tb
3 4 8 1
direct
0.5000 0.5000 0.0000
0.0000 0.5000 0.5000
0.5000 0.5000 0.5000
0.0000 0.0000 0.5000
0.0000 0.0000 0.0000
0.5000 0.0000 0.5000
0.5000 0.0000 0.0000
0.2770 0.3312 0.5541
0.7230 0.6688 0.4459
0.7338 0.6680 0.9509
0.2171 0.6680 0.4342
0.7829 0.3320 0.5658
0.7829 0.3320 0.0491
0.2662 0.3320 0.0491
0.2171 0.6680 0.9509
0.0000 0.5000 0.0000

=====

5.
Cs3La2TbO6 | Alexandria | PBE | optimized geometry; raw formation energy = -2.58 eV per atom; magnetic moment = 0.00 Bohr magnetons per cell
1.0
6.4335 -0.0026 0.0022
-3.2174 5.5712 0.0022
-1.0705 -1.8535 6.9301
O La Cs Tb
6 2 3 1
direct
0.3767 0.0561 0.1677
0.6233 0.9439 0.8323
0.9439 0.6233 0.8323
0.2648 0.2648 0.8315
0.0561 0.3767 0.1677
0.7352 0.7352 0.1685
0.3333 0.6667 0.0000
0.6667 0.3333 0.0000
0.8346 0.1654 0.5000
0.5000 0.5000 0.5000
0.1654 0.8346 0.5000
0.0000 0.0000 0.0000

=====

6.
Cs2LaTcO6 | Alexandria | PBE | optimized geometry; raw formation energy = -1.90 eV per atom; magnetic moment = 0.00 Bohr magnetons per cell
1.0
6.0754 0.0000 0.0000
0.0000 6.7185 0.0000
0.0000 -3.3592 5.8184
Cs Tc O La
2 1 6 1
direct
0.1185 0.3333 0.6667
0.8815 0.6667 0.3333
0.0000 0.0000 0.0000
0.1927 0.8696 0.7391
0.1927 0.2609 0.1304
0.8073 0.1304 0.2609
0.8073 0.1304 0.8696
0.1927 0.8696 0.1304
0.8073 0.7391 0.8696
0.5000 0.0000 0.0000